Entry from Alexandria via LeMat-Bulk: a geometry-optimized La2Al6Pd structure (PBE).

The density comes out at 4.846 Mg/m³. The calculation puts the energy of formation from the pure elements at -0.5325 eV per atom.

Geometry as POSCAR:
```
La2Al6Pd
1.0
5.797 -0.028 -0.016
0.029 6.105 0.006
0.029 3.047 5.290
La Al Pd
2 6 1
Direct
0.831 0.667 0.667
0.169 0.333 0.333
0.320 0.343 0.829
0.320 0.829 0.829
0.320 0.829 0.343
0.680 0.657 0.171
0.680 0.171 0.171
0.680 0.171 0.657
0.000 0.000 0.000
```


Entry from Alexandria via LeMat-Bulk: a geometry-optimized Ca2CrRe structure (PBE).

The density comes out at 5.648 Mg/m³. The calculation puts the energy of formation from the pure elements at 0.3897 eV per atom. For the energy above the most stable polymorph in this dataset, the calculation gives 0 meV/atom.

Geometry as POSCAR:
```
Ca2CrRe
1.0
3.245 0.000 0.000
0.000 3.245 0.006
0.000 3.220 8.897
Re Ca Cr
1 2 1
Direct
0.500 0.819 0.682
0.000 0.070 0.931
0.500 0.182 0.317
0.000 0.429 0.571
```


Entry from Alexandria via LeMat-Bulk: a geometry-optimized Na3CaHf structure (PBE).

The density comes out at 2.230 Mg/m³. The calculation puts the energy of formation from the pure elements at 1.1643 eV per atom. For the energy above the most stable polymorph in this dataset, the calculation gives 0 meV/atom.

Geometry as POSCAR:
```
Na3CaHf
1.0
-0.990 -2.045 -5.534
-0.316 -5.585 2.121
-5.891 0.643 0.816
Na Ca Hf
3 1 1
Direct
0.000 0.500 0.000
0.000 0.000 0.500
0.500 0.000 0.000
0.500 0.500 0.500
0.000 0.000 0.000
```